Record 1
First-principles (PBE-GGA) data for crystalline HfCoP2Cl at its relaxed geometry, as listed in Alexandria.

Lattice parameters (Å, degrees): 5.020 5.020 4.839 90.00 90.00 90.00
Space group P4/mmm (No. 123)
Symmetry-distinct sites (fractional):
Hf (0.000, 0.000, 0.000) x1
Co (0.500, 0.500, 0.500) x1
P (0.000, 0.500, 0.000) x2
Cl (0.000, 0.000, 0.500) x1

Output
uncorrected formation energy: 0.472 eV/atom
final energy: -5.473 eV/atom
ρ: 4.6 Mg/m³
spin magnetization: 0.4930 μB per atom

---

Record 2
First-principles (PBE-GGA) data for crystalline DyTmC2 at its relaxed geometry, as listed in Alexandria.

Lattice parameters (Å, degrees): 3.5652 3.5652 17.4137 90.00 90.00 120.00
Space group R-3m (No. 166, hexagonal axes)
Symmetry-distinct sites (fractional):
Dy (0.0000, 0.0000, 0.0000) x3
Tm (0.0000, 0.0000, 0.5000) x3
C (0.0000, 0.0000, 0.2485) x6

Output
final energy: -6.885 eV/atom
calculated formation energy: 0.0 eV/f.u.
ρ: 9.2 Mg/m³
spin magnetization: 0.0001 μB per atom

---

Record 3
First-principles (PBE-GGA) data for crystalline BaErAg2 at its relaxed geometry, as listed in Alexandria.

Lattice parameters (Å, degrees): 3.796 3.796 7.869 90.00 90.00 90.00
Space group P4/mmm (No. 123)
Symmetry-distinct sites (fractional):
Ba (0.000, 0.000, 0.000) x1
Er (0.000, 0.000, 0.500) x1
Ag (0.500, 0.500, 0.306) x2

Output
final energy: -3.293 eV/atom
calculated formation energy: -1.0 eV/f.u.
ρ: 7.6 Mg/m³
spin magnetization: 0.0000 μB per atom

---

Record 4
First-principles (PBE-GGA) data for crystalline Sm8GaGe3Te4 at its relaxed geometry, as listed in Alexandria.

Lattice parameters (Å, degrees): 8.6242 8.6242 21.8602 90.00 90.00 120.00
Space group R-3m (No. 166, hexagonal axes)
Symmetry-distinct sites (fractional):
Sm (0.0000, 0.0000, 0.2405) x6
Sm (0.0033, 0.5016, 0.7572) x18
Ga (0.0000, 0.0000, 0.5000) x3
Ge (0.0000, 0.5000, 0.5000) x9
Te (0.0000, 0.0000, 0.0000) x3
Te (0.0000, 0.5000, 0.0000) x9

Output
uncorrected formation energy: -1.140 eV/atom
final energy: -5.340 eV/atom
ρ: 7.1 Mg/m³
spin magnetization: 0.0000 μB per atom

---

Record 5
First-principles (PBE-GGA) data for crystalline GaGe3Os at its relaxed geometry, as listed in Alexandria.

Lattice parameters (Å, degrees): 4.819 4.819 4.819 90.00 90.00 90.00
Space group Pm-3m (No. 221)
Symmetry-distinct sites (fractional):
Ga (0.000, 0.000, 0.000) x1
Ge (0.000, 0.500, 0.500) x3
Os (0.500, 0.500, 0.500) x1

Output
final energy: -5.203 eV/atom
calculated formation energy: 2.1 eV/f.u.
ρ: 7.1 Mg/m³
spin magnetization: 0.0000 μB per atom

---

Record 6
First-principles (PBE-GGA) data for crystalline LaRh4Au at its relaxed geometry, as listed in Alexandria.

Lattice parameters (Å, degrees): 7.552 7.552 7.552 90.00 90.00 90.00
Space group F-43m (No. 216)
Symmetry-distinct sites (fractional):
La (0.000, 0.000, 0.000) x4
Rh (0.124, 0.124, 0.624) x16
Au (0.250, 0.250, 0.250) x4

Output
final energy: -6.508 eV/atom
calculated formation energy: -1.4 eV/f.u.
ρ: 11.5 Mg/m³
spin magnetization: 0.0173 μB per atom

---

Record 7
First-principles (PBE-GGA) data for crystalline BaRu2Pt at its relaxed geometry, as listed in Alexandria.

Lattice parameters (Å, degrees): 3.049 4.638 6.119 90.00 99.91 90.00
Space group P2/m (No. 10)
Symmetry-distinct sites (fractional):
Ba (0.000, 0.000, 0.000) x1
Ru (0.285, 0.500, 0.665) x2
Pt (0.500, 0.000, 0.500) x1

Output
final energy: -6.006 eV/atom
calculated formation energy: 2.5 eV/f.u.
ρ: 10.4 Mg/m³
spin magnetization: 0.2976 μB per atom

---

Record 8
First-principles (PBE-GGA) data for crystalline IrPtCl2 at its relaxed geometry, as listed in Alexandria.

Lattice parameters (Å, degrees): 2.891 4.201 5.452 90.00 90.00 90.00
Space group Pmmm (No. 47)
Symmetry-distinct sites (fractional):
Ir (0.000, 0.000, 0.000) x1
Pt (0.500, 0.000, 0.500) x1
Cl (0.000, 0.500, 0.500) x1
Cl (0.500, 0.500, 0.000) x1

Output
uncorrected formation energy: 0.695 eV/atom
final energy: -3.953 eV/atom
ρ: 11.5 Mg/m³
spin magnetization: 0.0000 μB per atom